Tb6Nd8Ho | PBE | optimized geometry

Unit cell a=6.6123 b=9.4645 c=9.4645 alpha=120.00 beta=90.00 gamma=90.00
Closest atoms and distances in Å follow each position.
Positions (direct):
Nd1 0.1662 0.7490 0.0345  3 Nd 3.30-3.37, 4 Tb 3.31-3.59, 1 Ho 3.38
Tb1 0.3424 0.5644 0.6559  1 Tb 3.31, 4 Nd 3.31-3.59
Tb2 0.3424 0.0915 0.4356  1 Tb 3.31, 4 Nd 3.31-3.59
Nd2 0.1662 0.2855 0.2510  3 Nd 3.30-3.37, 4 Tb 3.31-3.59, 1 Ho 3.38
Nd3 0.8338 0.7145 0.7490  3 Nd 3.30-3.37, 4 Tb 3.31-3.59, 1 Ho 3.38
Nd4 0.8338 0.0345 0.2855  3 Nd 3.30-3.37, 4 Tb 3.31-3.59, 1 Ho 3.38
Tb3 0.6576 0.6559 0.0915  1 Tb 3.31, 4 Nd 3.31-3.59
Ho1 0.5000 0.0000 0.0000  6 Nd 3.38
Tb4 0.6576 0.9085 0.5644  1 Tb 3.31, 4 Nd 3.31-3.59
Nd5 0.8338 0.2510 0.9655  3 Nd 3.30-3.37, 4 Tb 3.31-3.59, 1 Ho 3.38
Tb5 0.6576 0.4356 0.3441  1 Tb 3.31, 4 Nd 3.31-3.59
Nd6 0.1189 0.6667 0.3333  3 Nd 3.30
Nd7 0.1662 0.9655 0.7145  3 Nd 3.30-3.37, 4 Tb 3.31-3.59, 1 Ho 3.38
Nd8 0.8811 0.3333 0.6667  3 Nd 3.30
Tb6 0.3424 0.3441 0.9085  1 Tb 3.31, 4 Nd 3.31-3.59

Calculated values
Density = 7.4 g/cm3
SG = P-3
D(E_F) = 1.559 states/eV/atom
Excess energy over the best structure of this formula in the dataset = 1.172 kcal/mol of atoms
Formation energy from the elements = 0.1708 eV per atom



Tb2Nd5Ho3 | PBE | optimized geometry

Unit cell a=10.9825 b=9.9697 c=9.9697 alpha=56.53 beta=56.58 gamma=56.58
Closest atoms and distances in Å follow each position.
Positions (direct):
Tb1 0.1196 0.7911 0.9697  1 Nd 2.91, 1 Ho 3.22
Ho1 0.7500 0.0000 0.0000  4 Tb 3.31, 2 Nd 3.38
Ho2 0.2500 0.0000 0.0000  4 Tb 3.31, 2 Nd 3.38
Tb2 0.8804 0.2089 0.0303  1 Nd 2.91, 1 Ho 3.22
Nd1 0.6283 0.2685 0.4748  1 Tb 2.91
Nd2 0.3717 0.7315 0.5252  1 Tb 2.91
Nd3 0.4969 0.7531 0.7531  2 Tb 3.36, 3 Nd 3.38-3.47, 1 Ho 3.38
Nd4 0.7500 0.5000 0.5000  6 Nd 3.40-3.47
Nd5 0.2500 0.5000 0.5000  6 Nd 3.40-3.47
Nd6 0.0031 0.2469 0.2469  2 Tb 3.36, 3 Nd 3.38-3.47, 1 Ho 3.38
Tb3 0.6196 0.9697 0.7911  1 Nd 2.91, 1 Ho 3.22
Nd7 0.9969 0.7531 0.7531  2 Tb 3.36, 3 Nd 3.38-3.47, 1 Ho 3.38
Ho3 0.3761 0.3750 0.8728  1 Tb 3.22, 1 Nd 3.32
Tb4 0.3804 0.0303 0.2089  1 Nd 2.91, 1 Ho 3.22
Nd8 0.1283 0.4748 0.2685  1 Tb 2.91
Nd9 0.5031 0.2469 0.2469  2 Tb 3.36, 3 Nd 3.38-3.47, 1 Ho 3.38
Ho4 0.8761 0.8728 0.3750  1 Tb 3.22, 1 Nd 3.32
Ho5 0.6239 0.6250 0.1272  1 Tb 3.22, 1 Nd 3.32
Nd10 0.8717 0.5252 0.7315  1 Tb 2.91
Ho6 0.1239 0.1272 0.6250  1 Tb 3.22, 1 Nd 3.32

Calculated values
Density = 7.2 g/cm3
SG = Ibam
D(E_F) = 1.446 states/eV/atom
Excess energy over the best structure of this formula in the dataset = 4.374 kcal/mol of atoms
Formation energy from the elements = 0.3714 eV per atom



Tb5Nd4Ho | PBE | optimized geometry

Unit cell a=6.0209 b=8.1257 c=8.1257 alpha=82.11 beta=68.25 gamma=68.25
Closest atoms and distances in Å follow each position.
Positions (direct):
Ho1 0.2162 0.0000 0.0000  2 Tb 2.85-3.17
Nd1 0.4463 0.3233 0.6764  2 Tb 3.33, 1 Ho 3.72
Tb1 0.1435 0.6230 0.9997  1 Ho 3.25, 3 Tb 3.26-3.54, 2 Nd 3.33
Tb2 0.1432 0.0003 0.6230  1 Ho 3.25, 3 Tb 3.26-3.54, 2 Nd 3.33
Nd2 0.7697 0.6764 0.6767  2 Tb 3.33, 1 Ho 3.72
Tb3 0.7662 0.3770 0.0003  1 Ho 3.25, 3 Tb 3.26-3.54, 2 Nd 3.33
Tb4 0.7665 0.9997 0.3770  1 Ho 3.25, 3 Tb 3.26-3.54, 2 Nd 3.33
Nd3 0.4460 0.6767 0.3236  2 Tb 3.33, 1 Ho 3.72
Nd4 0.1227 0.3236 0.3233  2 Tb 3.33, 1 Ho 3.72
Tb5 0.6899 0.0000 0.0000  2 Ho 2.85-3.17

Calculated values
Density = 7.4 g/cm3
SG = I4mm
D(E_F) = 1.333 states/eV/atom
Excess energy over the best structure of this formula in the dataset = 0.290 kcal/mol of atoms
Formation energy from the elements = 0.2354 eV per atom